[1]
A plane-wave DFT calculation with PBE was carried out for La8Ga2Bi after structural relaxation.

The density of states at the Fermi level comes out at 12.5 states/eV/cell. As for the space group: C2/m (12). The value obtained for the formation energy is -8.7 kcal/mol of atoms. For the raw total energy, the calculation gives -4.865 eV per atom.

Cell: 9.326 9.326 8.331 Å, 110.29 110.29 30.92°
Atoms (fractional coordinates):
La (0.054, 0.054, 0.236)
La (0.164, 0.164, 0.755)
La (0.327, 0.327, 0.573)
La (0.390, 0.390, 0.056)
La (0.610, 0.610, 0.944)
La (0.673, 0.673, 0.427)
La (0.836, 0.836, 0.245)
La (0.946, 0.946, 0.764)
Ga (0.218, 0.218, 0.177)
Ga (0.782, 0.782, 0.823)
Bi (0.500, 0.500, 0.500)

[2]
A plane-wave DFT calculation with PBE was carried out for Ta2FeCu after structural relaxation.

The density of states at the Fermi level comes out at 11.3 states/eV/cell. As for the space group: R-3m (166). Its energy above the most stable polymorph in this dataset is 0.265 eV/atom. The value obtained for the formation energy is 7.0 kcal/mol of atoms. For the raw total energy, the calculation gives -8.764 eV per atom.

Cell: 2.782 2.782 27.778 Å, 90.00 90.00 120.00°
Atoms (fractional coordinates):
Ta (0.000, 0.000, 0.250)
Ta (0.000, 0.000, 0.750)
Ta (0.333, 0.667, 0.417)
Ta (0.333, 0.667, 0.917)
Ta (0.667, 0.333, 0.083)
Ta (0.667, 0.333, 0.583)
Fe (0.000, 0.000, 0.000)
Fe (0.333, 0.667, 0.667)
Fe (0.667, 0.333, 0.333)
Cu (0.000, 0.000, 0.500)
Cu (0.333, 0.667, 0.167)
Cu (0.667, 0.333, 0.833)

[3]
A plane-wave DFT calculation with PBE was carried out for GaGe after structural relaxation.

The density of states at the Fermi level comes out at 7.7 states/eV/cell. As for the space group: I-43m (217). Its energy above the most stable polymorph in this dataset is 0.181 eV/atom. The value obtained for the formation energy is 7.6 kcal/mol of atoms. For the raw total energy, the calculation gives -3.494 eV per atom.

Cell: 7.947 7.947 7.947 Å, 90.00 90.00 90.00°
Atoms (fractional coordinates):
Ga (0.160, 0.160, 0.160)
Ga (0.160, 0.840, 0.840)
Ga (0.340, 0.340, 0.660)
Ga (0.340, 0.660, 0.340)
Ga (0.660, 0.340, 0.340)
Ga (0.660, 0.660, 0.660)
Ga (0.840, 0.160, 0.840)
Ga (0.840, 0.840, 0.160)
Ge (0.162, 0.162, 0.838)
Ge (0.162, 0.838, 0.162)
Ge (0.338, 0.338, 0.338)
Ge (0.338, 0.662, 0.662)
Ge (0.662, 0.338, 0.662)
Ge (0.662, 0.662, 0.338)
Ge (0.838, 0.162, 0.162)
Ge (0.838, 0.838, 0.838)

[4]
A plane-wave DFT calculation with PBE was carried out for CuPdCl3 after structural relaxation.

The density of states at the Fermi level comes out at 12.3 states/eV/cell. The calculation puts the formation energy without anion corrections at 0.03 eV/atom. As for the space group: Pm-3m (221). Its energy above the most stable polymorph in this dataset is 0.441 eV/atom. For the raw total energy, the calculation gives -2.934 eV per atom.

Cell: 4.853 4.853 4.853 Å, 90.00 90.00 90.00°
Atoms (fractional coordinates):
Cu (0.000, 0.000, 0.000)
Pd (0.500, 0.500, 0.500)
Cl (0.000, 0.500, 0.500)
Cl (0.500, 0.000, 0.500)
Cl (0.500, 0.500, 0.000)

[5]
A plane-wave DFT calculation with PBE was carried out for TlSI2N after structural relaxation.

The density of states at the Fermi level comes out at 11.3 states/eV/cell. The calculation puts the formation energy without anion corrections at 1.36 eV/atom. As for the space group: P4/mmm (123). Its energy above the most stable polymorph in this dataset is 0.921 eV/atom. For the raw total energy, the calculation gives -2.219 eV per atom.

Cell: 6.309 6.309 4.124 Å, 90.00 90.00 90.00°
Atoms (fractional coordinates):
Tl (0.000, 0.000, 0.000)
S (0.500, 0.500, 0.500)
I (0.000, 0.500, 0.000)
I (0.500, 0.000, 0.000)
N (0.000, 0.000, 0.500)

[6]
A plane-wave DFT calculation with PBE was carried out for YSI after structural relaxation.

The calculation puts the formation energy without anion corrections at -1.46 eV/atom. As for the space group: P-6m2 (187). For the raw total energy, the calculation gives -5.505 eV per atom.

Cell: 4.541 4.541 5.125 Å, 90.00 90.00 120.00°
Atoms (fractional coordinates):
Y (0.000, 0.000, 0.000)
S (0.333, 0.667, 0.000)
I (0.667, 0.333, 0.500)

[7]
A plane-wave DFT calculation with PBE was carried out for Co2NiPd8 after structural relaxation.

The density of states at the Fermi level comes out at 12.6 states/eV/cell. As for the space group: C2/m (12). Its energy above the most stable polymorph in this dataset is 0.000 eV/atom. The value obtained for the formation energy is 0.5 kcal/mol of atoms. For the raw total energy, the calculation gives -5.571 eV per atom.

Cell: 7.204 7.204 6.108 Å, 104.83 104.83 31.22°
Atoms (fractional coordinates):
Co (0.229, 0.229, 0.127)
Co (0.771, 0.771, 0.873)
Ni (0.500, 0.500, 0.500)
Pd (0.046, 0.046, 0.234)
Pd (0.141, 0.141, 0.693)
Pd (0.318, 0.318, 0.585)
Pd (0.404, 0.404, 0.043)
Pd (0.596, 0.596, 0.957)
Pd (0.682, 0.682, 0.415)
Pd (0.859, 0.859, 0.307)
Pd (0.954, 0.954, 0.766)

[8]
A plane-wave DFT calculation with PBE was carried out for Th5Tc2Te after structural relaxation.

The density of states at the Fermi level comes out at 17.5 states/eV/cell. The calculation puts the formation energy without anion corrections at -0.37 eV/atom. As for the space group: I4/mcm (140). For the raw total energy, the calculation gives -7.992 eV per atom.

Cell: 8.914 8.914 8.914 Å, 126.45 126.45 79.14°
Atoms (fractional coordinates):
Th (0.000, 0.000, 0.000)
Th (0.022, 0.522, 0.812)
Th (0.210, 0.022, 0.500)
Th (0.290, 0.790, 0.812)
Th (0.478, 0.290, 0.500)
Th (0.500, 0.500, 0.000)
Th (0.522, 0.710, 0.500)
Th (0.710, 0.210, 0.188)
Th (0.790, 0.978, 0.500)
Th (0.978, 0.478, 0.188)
Tc (0.143, 0.357, 0.500)
Tc (0.357, 0.857, 0.214)
Tc (0.643, 0.143, 0.786)
Tc (0.857, 0.643, 0.500)
Te (0.250, 0.250, 0.000)
Te (0.750, 0.750, 0.000)

[9]
A plane-wave DFT calculation with PBE was carried out for ZrTaMo2 after structural relaxation.

The density of states at the Fermi level comes out at 7.4 states/eV/cell. As for the space group: Imm2 (44). Its energy above the most stable polymorph in this dataset is 0.000 eV/atom. The value obtained for the formation energy is -1.7 kcal/mol of atoms. For the raw total energy, the calculation gives -10.590 eV per atom.

Cell: 3.256 4.602 9.505 Å, 90.00 90.00 90.00°
Atoms (fractional coordinates):
Zr (0.000, 0.000, 0.000)
Zr (0.500, 0.500, 0.500)
Ta (0.000, 0.500, 0.233)
Ta (0.500, 0.000, 0.733)
Mo (0.000, 0.000, 0.486)
Mo (0.000, 0.500, 0.756)
Mo (0.500, 0.000, 0.256)
Mo (0.500, 0.500, 0.986)

[10]
A plane-wave DFT calculation with PBE was carried out for Ca2PrPt after structural relaxation.

The density of states at the Fermi level comes out at 15.9 states/eV/cell. As for the space group: Pnma (62). Its energy above the most stable polymorph in this dataset is 0.000 eV/atom. The value obtained for the formation energy is -13.5 kcal/mol of atoms. For the raw total energy, the calculation gives -4.290 eV per atom.

Cell: 7.700 9.747 6.556 Å, 90.00 90.00 90.00°
Atoms (fractional coordinates):
Ca (0.174, 0.065, 0.161)
Ca (0.174, 0.435, 0.161)
Ca (0.326, 0.565, 0.661)
Ca (0.326, 0.935, 0.661)
Ca (0.674, 0.065, 0.339)
Ca (0.674, 0.435, 0.339)
Ca (0.826, 0.565, 0.839)
Ca (0.826, 0.935, 0.839)
Pr (0.038, 0.250, 0.638)
Pr (0.462, 0.750, 0.138)
Pr (0.538, 0.250, 0.862)
Pr (0.962, 0.750, 0.362)
Pt (0.121, 0.750, 0.954)
Pt (0.379, 0.250, 0.454)
Pt (0.621, 0.750, 0.546)
Pt (0.879, 0.250, 0.046)

[11]
A plane-wave DFT calculation with PBE was carried out for La4AuBr4 after structural relaxation.

The density of states at the Fermi level comes out at 6.8 states/eV/cell. The calculation puts the formation energy without anion corrections at -1.37 eV/atom. As for the space group: C2/m (12). For the raw total energy, the calculation gives -4.665 eV per atom.

Cell: 7.445 7.445 11.115 Å, 119.88 119.88 33.15°
Atoms (fractional coordinates):
La (0.111, 0.111, 0.418)
La (0.306, 0.306, 0.211)
La (0.694, 0.694, 0.789)
La (0.889, 0.889, 0.582)
Au (0.500, 0.500, 0.500)
Br (0.098, 0.098, 0.901)
Br (0.323, 0.323, 0.734)
Br (0.677, 0.677, 0.266)
Br (0.902, 0.902, 0.099)

[12]
A plane-wave DFT calculation with PBE was carried out for Sr4Li2In after structural relaxation.

The density of states at the Fermi level comes out at 6.9 states/eV/cell. As for the space group: R-3m (166). The value obtained for the formation energy is -1.6 kcal/mol of atoms. For the raw total energy, the calculation gives -1.969 eV per atom.

Cell: 10.002 10.002 10.002 Å, 33.83 33.83 33.83°
Atoms (fractional coordinates):
Sr (0.123, 0.123, 0.123)
Sr (0.375, 0.375, 0.375)
Sr (0.625, 0.625, 0.625)
Sr (0.877, 0.877, 0.877)
Li (0.243, 0.243, 0.243)
Li (0.757, 0.757, 0.757)
In (0.500, 0.500, 0.500)

[13]
A plane-wave DFT calculation with PBE was carried out for CePu2In after structural relaxation.

The density of states at the Fermi level comes out at 10.0 states/eV/cell. As for the space group: P4/mmm (123). Its energy above the most stable polymorph in this dataset is 0.000 eV/atom. The value obtained for the formation energy is -2.8 kcal/mol of atoms. For the raw total energy, the calculation gives -9.454 eV per atom.

Cell: 4.694 4.694 4.885 Å, 90.00 90.00 90.00°
Atoms (fractional coordinates):
Ce (0.000, 0.000, 0.000)
Pu (0.000, 0.500, 0.500)
Pu (0.500, 0.000, 0.500)
In (0.500, 0.500, 0.000)

[14]
A plane-wave DFT calculation with PBE was carried out for K2In2HgBi2 after structural relaxation.

The density of states at the Fermi level comes out at 2.9 states/eV/cell. As for the space group: C2/m (12). The value obtained for the formation energy is -5.0 kcal/mol of atoms. For the raw total energy, the calculation gives -2.465 eV per atom.

Cell: 13.408 5.275 8.606 Å, 90.00 120.10 90.00°
Atoms (fractional coordinates):
K (0.094, 0.000, 0.345)
K (0.406, 0.500, 0.655)
K (0.594, 0.500, 0.345)
K (0.906, 0.000, 0.655)
In (0.242, 0.500, 0.122)
In (0.258, 0.000, 0.878)
In (0.742, 0.000, 0.122)
In (0.758, 0.500, 0.878)
Hg (0.000, 0.500, 0.000)
Hg (0.500, 0.000, 0.000)
Bi (0.135, 0.500, 0.690)
Bi (0.365, 0.000, 0.310)
Bi (0.635, 0.000, 0.690)
Bi (0.865, 0.500, 0.310)

[15]
A plane-wave DFT calculation with PBE was carried out for Y2GaGe4Pd3 after structural relaxation.

The density of states at the Fermi level comes out at 3.8 states/eV/cell. As for the space group: P-4m2 (115). The value obtained for the formation energy is -16.2 kcal/mol of atoms. For the raw total energy, the calculation gives -5.702 eV per atom.

Cell: 4.071 4.071 11.286 Å, 90.00 90.00 90.00°
Atoms (fractional coordinates):
Y (0.000, 0.500, 0.245)
Y (0.500, 0.000, 0.755)
Ga (0.500, 0.500, 0.000)
Ge (0.000, 0.000, 0.500)
Ge (0.000, 0.500, 0.857)
Ge (0.500, 0.000, 0.143)
Ge (0.500, 0.500, 0.500)
Pd (0.000, 0.000, 0.000)
Pd (0.000, 0.500, 0.641)
Pd (0.500, 0.000, 0.359)

[16]
A plane-wave DFT calculation with PBE was carried out for CdPd3S after structural relaxation.

The density of states at the Fermi level comes out at 1.2 states/eV/cell. The calculation puts the formation energy without anion corrections at -0.21 eV/atom. As for the space group: Pm-3m (221). Its energy above the most stable polymorph in this dataset is 0.088 eV/atom. For the raw total energy, the calculation gives -4.331 eV per atom.

Cell: 4.520 4.520 4.520 Å, 90.00 90.00 90.00°
Atoms (fractional coordinates):
Cd (0.000, 0.000, 0.000)
Pd (0.000, 0.500, 0.500)
Pd (0.500, 0.000, 0.500)
Pd (0.500, 0.500, 0.000)
S (0.500, 0.500, 0.500)

[17]
A plane-wave DFT calculation with PBE was carried out for NaNbP2Cl after structural relaxation.

The density of states at the Fermi level comes out at 6.7 states/eV/cell. The calculation puts the formation energy without anion corrections at 1.21 eV/atom. As for the space group: P4/mmm (123). Its energy above the most stable polymorph in this dataset is 1.574 eV/atom. For the raw total energy, the calculation gives -3.600 eV per atom.

Cell: 4.793 4.793 4.553 Å, 90.00 90.00 90.00°
Atoms (fractional coordinates):
Na (0.000, 0.000, 0.000)
Nb (0.500, 0.500, 0.500)
P (0.000, 0.500, 0.000)
P (0.500, 0.000, 0.000)
Cl (0.000, 0.000, 0.500)

[18]
A plane-wave DFT calculation with PBE was carried out for CuSnPt3 after structural relaxation.

The density of states at the Fermi level comes out at 3.8 states/eV/cell. As for the space group: P-1 (2). Its energy above the most stable polymorph in this dataset is 0.000 eV/atom. The value obtained for the formation energy is -6.9 kcal/mol of atoms. For the raw total energy, the calculation gives -5.544 eV per atom.

Cell: 4.672 4.677 7.939 Å, 85.47 72.91 75.04°
Atoms (fractional coordinates):
Cu (0.144, 0.250, 0.213)
Cu (0.856, 0.750, 0.787)
Sn (0.351, 0.249, 0.799)
Sn (0.649, 0.751, 0.201)
Pt (0.054, 0.750, 0.392)
Pt (0.248, 0.749, 0.001)
Pt (0.442, 0.750, 0.614)
Pt (0.558, 0.250, 0.386)
Pt (0.752, 0.251, 0.999)
Pt (0.946, 0.250, 0.608)